Record 1
! PBE CaGa2O4, relaxed; values from VASP
&SYSTEM
  ibrav = 0, nat = 56, ntyp = 3
/
ATOMIC_SPECIES
Ca 40.08 Ca.upf
Ga 69.72 Ga.upf
O 16.00 O.upf
CELL_PARAMETERS angstrom
8.0665 0.0000 0.0000
0.0000 8.9343 0.0000
-0.9111 0.0000 10.6962
ATOMIC_POSITIONS angstrom
Ca 7.9489 1.9208 1.3758
Ca 7.4934 2.5464 6.7239
Ca -0.3380 6.3879 3.9723
Ca -0.7936 7.0136 9.3204
Ca 3.5965 2.1368 1.5471
Ca 3.1409 2.3304 6.8952
Ca 4.0144 6.6039 3.8010
Ca 3.5589 6.7976 9.1491
Ga 1.2887 4.9654 1.4765
Ga 0.8331 8.4361 6.8246
Ga 1.5581 0.5154 3.9602
Ga 1.1025 3.9518 9.3083
Ga 1.7746 5.4295 6.6031
Ga 2.2302 7.9720 1.2550
Ga 1.6044 0.8464 9.5183
Ga 2.0600 3.6207 4.1702
Ga 5.0954 5.3136 6.5260
Ga 5.5509 8.0879 1.1779
Ga 4.9251 0.9624 9.4412
Ga 5.3807 3.5048 4.0931
Ga 6.0528 4.9826 1.3880
Ga 5.5973 8.4189 6.7361
Ga 6.3222 0.4983 3.8716
Ga 5.8666 3.9689 9.2197
O -0.5310 4.7263 8.8576
O -0.0754 8.6752 3.5095
O 1.0519 6.6463 0.7372
O 0.5963 6.7553 6.0853
O 1.6381 0.6425 0.4691
O 1.1826 3.8246 5.8172
O 1.6288 2.1791 3.0577
O 1.1732 2.2881 8.4058
O 1.9317 5.2429 3.2373
O 1.4761 8.1586 8.5854
O 1.7534 0.7369 5.7874
O 2.2090 3.7303 0.4393
O 2.2684 5.0574 8.3667
O 2.7239 8.3441 3.0186
O 3.4305 5.8940 5.8963
O 3.8861 7.5075 0.5482
O 3.2692 1.4269 10.1480
O 3.7248 3.0403 4.7999
O 4.4314 0.5903 7.6776
O 4.8870 3.8769 2.3295
O 4.9463 5.2041 10.2569
O 5.4019 8.1974 4.9088
O 5.6792 0.7757 2.1109
O 5.2237 3.6915 7.4590
O 5.9821 6.6463 2.2904
O 5.5265 6.7552 7.6385
O 5.9728 5.1097 4.8790
O 5.5172 8.2918 10.2271
O 6.5590 2.1791 4.6109
O 6.1035 2.2881 9.9590
O 7.2308 0.2591 7.1867
O 7.6863 4.2080 1.8386
! * energy above the most stable polymorph in this dataset: 0.0014 eV/atom
! * symmetry: P2_1/c (14)

***

Record 2
! PBE Li2Ni5N2, relaxed; values from VASP
&SYSTEM
  ibrav = 0, nat = 9, ntyp = 3
/
ATOMIC_SPECIES
Li 6.94 Li.upf
Ni 58.69 Ni.upf
N 14.01 N.upf
CELL_PARAMETERS angstrom
4.2266 -1.8614 0.0000
4.2266 1.8614 0.0000
-0.9338 0.0000 5.9156
ATOMIC_POSITIONS angstrom
Li 0.3435 0.0000 1.2555
Li 7.1759 0.0000 4.6602
Ni 1.3566 0.0000 3.9170
Ni 3.0128 0.0000 0.3973
Ni 3.7597 0.0000 2.9578
Ni 4.5065 0.0000 5.5183
Ni 6.1627 0.0000 1.9986
N 2.2052 0.0000 2.0050
N 5.3142 0.0000 3.9106
! * symmetry: C2/m (12)

***

Record 3
! PBE Zr2AlPdCl, relaxed; values from VASP
&SYSTEM
  ibrav = 0, nat = 5, ntyp = 4
/
ATOMIC_SPECIES
Zr 91.22 Zr.upf
Al 26.98 Al.upf
Pd 106.42 Pd.upf
Cl 35.45 Cl.upf
CELL_PARAMETERS angstrom
4.7136 0.0000 0.0000
0.0000 4.7136 0.0000
0.0000 0.0000 4.6239
ATOMIC_POSITIONS angstrom
Zr 0.0000 2.3568 0.0000
Zr 2.3568 0.0000 0.0000
Al 0.0000 0.0000 2.3119
Pd 2.3568 2.3568 2.3119
Cl 0.0000 0.0000 0.0000
! * symmetry: P4/mmm (123)

***

Number 1: D(E_F) 0.000 states/eV/atom, E_form (uncorrected) -15.7 eV per formula unit. Number 2: D(E_F) 0.780 states/eV/atom, E_form (uncorrected) -0.3 eV per formula unit. Number 3: D(E_F) 0.329 states/eV/atom, E_form (uncorrected) 0.8 eV per formula unit.